<i>
A geometry-optimized HoZn3Au3 structure, computed with PBE.

Lattice parameters (Å, degrees): 6.9745 6.9745 6.9745 90.00 90.00 90.00
Last column: nearest neighbours and their distance in Å.
Atoms (fractional coordinates):
Ho (0.0000, 0.0000, 0.0000)  12 Zn 3.90, 12 Au 3.90
Ho (0.5000, 0.5000, 0.5000)  12 Zn 3.90, 12 Au 3.90
Zn (0.0000, 0.2500, 0.5000)  4 Au 2.47
Zn (0.0000, 0.7500, 0.5000)  4 Au 2.47
Zn (0.2500, 0.5000, 0.0000)  4 Au 2.47
Zn (0.5000, 0.0000, 0.2500)  4 Au 2.47
Zn (0.5000, 0.0000, 0.7500)  4 Au 2.47
Zn (0.7500, 0.5000, 0.0000)  4 Au 2.47
Au (0.0000, 0.5000, 0.2500)  4 Zn 2.47
Au (0.0000, 0.5000, 0.7500)  4 Zn 2.47
Au (0.2500, 0.0000, 0.5000)  4 Zn 2.47
Au (0.5000, 0.2500, 0.0000)  4 Zn 2.47
Au (0.5000, 0.7500, 0.0000)  4 Zn 2.47
Au (0.7500, 0.0000, 0.5000)  4 Zn 2.47



<ii>
A geometry-optimized HoZn3Au3 structure, computed with PBE.

Lattice parameters (Å, degrees): 7.4241 7.4241 7.4241 56.44 56.44 56.44
Last column: nearest neighbours and their distance in Å.
Atoms (fractional coordinates):
Ho (0.1616, 0.1616, 0.1616)  6 Au 2.93-3.05, 6 Zn 3.15-3.19
Ho (0.8384, 0.8384, 0.8384)  6 Au 2.93-3.05, 6 Zn 3.15-3.19
Zn (0.0454, 0.2284, 0.6031)  4 Au 2.66-2.78, 2 Zn 2.73
Zn (0.2284, 0.6031, 0.0454)  4 Au 2.66-2.78, 2 Zn 2.73
Zn (0.3969, 0.9546, 0.7716)  4 Au 2.66-2.78, 2 Zn 2.73
Zn (0.6031, 0.0454, 0.2284)  4 Au 2.66-2.78, 2 Zn 2.73
Zn (0.7716, 0.3969, 0.9546)  4 Au 2.66-2.78, 2 Zn 2.73
Zn (0.9546, 0.7716, 0.3969)  4 Au 2.66-2.78, 2 Zn 2.73
Au (0.1921, 0.4282, 0.6784)  4 Zn 2.66-2.78, 1 Ho 2.93, 2 Au 2.96
Au (0.3216, 0.8079, 0.5718)  4 Zn 2.66-2.78, 1 Ho 2.93, 2 Au 2.96
Au (0.4282, 0.6784, 0.1921)  4 Zn 2.66-2.78, 1 Ho 2.93, 2 Au 2.96
Au (0.5718, 0.3216, 0.8079)  4 Zn 2.66-2.78, 1 Ho 2.93, 2 Au 2.96
Au (0.6784, 0.1921, 0.4282)  4 Zn 2.66-2.78, 1 Ho 2.93, 2 Au 2.96
Au (0.8079, 0.5718, 0.3216)  4 Zn 2.66-2.78, 1 Ho 2.93, 2 Au 2.96



Most stable structure: <ii>



<i>
A geometry-optimized Ho3Zn2Au structure, computed with PBE.

Lattice parameters (Å, degrees): 5.0447 5.0447 6.1656 90.00 90.00 120.00
Last column: nearest neighbours and their distance in Å.
Atoms (fractional coordinates):
Ho (0.0000, 0.0000, 0.0000)  6 Zn 3.06, 2 Au 3.08
Ho (0.3333, 0.6667, 0.6635)  5 Zn 3.01-3.16, 3 Au 3.08
Ho (0.6667, 0.3333, 0.3365)  5 Zn 3.01-3.16, 3 Au 3.08
Zn (0.3333, 0.6667, 0.1515)  8 Ho 3.01-3.16
Zn (0.6667, 0.3333, 0.8485)  8 Ho 3.01-3.16
Au (0.0000, 0.0000, 0.5000)  8 Ho 3.08



<ii>
A geometry-optimized Ho3Zn2Au structure, computed with PBE.

Lattice parameters (Å, degrees): 3.5713 3.5713 10.6079 90.00 90.00 90.00
Last column: nearest neighbours and their distance in Å.
Atoms (fractional coordinates):
Ho (0.0000, 0.0000, 0.0000)  8 Zn 3.05
Ho (0.0000, 0.0000, 0.3315)  4 Au 3.09, 4 Zn 3.11
Ho (0.0000, 0.0000, 0.6685)  4 Au 3.09, 4 Zn 3.11
Zn (0.5000, 0.5000, 0.1610)  8 Ho 3.05-3.11
Zn (0.5000, 0.5000, 0.8390)  8 Ho 3.05-3.11
Au (0.5000, 0.5000, 0.5000)  8 Ho 3.09



Most stable structure: <ii>



<i>
A geometry-optimized AuI4 structure, computed with PBE.

Lattice parameters (Å, degrees): 5.6824 5.6824 5.6824 90.00 90.00 90.00
Last column: nearest neighbours and their distance in Å.
Atoms (fractional coordinates):
Au (0.0000, 0.0000, 0.0000)  6 I 2.84
I (0.0000, 0.0000, 0.5000)  2 Au 2.84
I (0.0000, 0.5000, 0.0000)  2 Au 2.84
I (0.5000, 0.0000, 0.0000)  2 Au 2.84
I (0.5000, 0.5000, 0.5000)  12 I 4.02



<ii>
A geometry-optimized AuI4 structure, computed with PBE.

Lattice parameters (Å, degrees): 8.4490 8.4490 10.4150 103.86 103.86 45.51
Last column: nearest neighbours and their distance in Å.
Atoms (fractional coordinates):
Au (0.2436, 0.7564, 0.7500)  4 I 2.72
Au (0.7564, 0.2436, 0.2500)  4 I 2.72
I (0.1250, 0.1393, 0.8840)  1 Au 2.72
I (0.1393, 0.1250, 0.3840)  1 Au 2.72
I (0.3647, 0.3720, 0.6165)  1 Au 2.72
I (0.3720, 0.3647, 0.1165)  1 Au 2.72
I (0.6280, 0.6353, 0.8835)  1 Au 2.72
I (0.6353, 0.6280, 0.3835)  1 Au 2.72
I (0.8607, 0.8750, 0.6160)  1 Au 2.72
I (0.8750, 0.8607, 0.1160)  1 Au 2.72



<iii>
A geometry-optimized AuI4 structure, computed with PBE.

Lattice parameters (Å, degrees): 5.9972 9.8113 8.0736 90.00 105.29 90.00
Last column: nearest neighbours and their distance in Å.
Atoms (fractional coordinates):
Au (0.0000, 0.0839, 0.2500)  4 I 2.82-2.85
Au (0.0000, 0.9161, 0.7500)  4 I 2.82-2.85
I (0.2418, 0.3701, 0.2129)  2 I 3.00-3.11, 1 Au 3.21
I (0.2418, 0.6299, 0.7129)  2 I 3.00-3.11, 1 Au 3.21
I (0.2689, 0.0887, 0.5937)  2 Au 2.82-2.85
I (0.2689, 0.9113, 0.0937)  2 Au 2.82-2.85
I (0.7311, 0.0887, 0.9063)  2 Au 2.82-2.85
I (0.7311, 0.9113, 0.4063)  2 Au 2.82-2.85
I (0.7582, 0.3701, 0.2871)  2 I 3.00-3.11, 1 Au 3.21
I (0.7582, 0.6299, 0.7871)  2 I 3.00-3.11, 1 Au 3.21



Most stable structure: <ii>



<i>
A geometry-optimized In2Au2I structure, computed with PBE.

Lattice parameters (Å, degrees): 8.2038 8.2038 3.7785 90.00 90.00 90.00
Last column: nearest neighbours and their distance in Å.
Atoms (fractional coordinates):
In (0.1741, 0.3259, 0.0000)  6 Au 3.04-3.10
In (0.3259, 0.8259, 0.0000)  6 Au 3.04-3.10
In (0.6741, 0.1741, 0.0000)  6 Au 3.04-3.10
In (0.8259, 0.6741, 0.0000)  6 Au 3.04-3.10
Au (0.1208, 0.6208, 0.5000)  1 Au 2.80, 6 In 3.04-3.10
Au (0.3792, 0.1208, 0.5000)  1 Au 2.80, 6 In 3.04-3.10
Au (0.6208, 0.8792, 0.5000)  1 Au 2.80, 6 In 3.04-3.10
Au (0.8792, 0.3792, 0.5000)  1 Au 2.80, 6 In 3.04-3.10
I (0.0000, 0.0000, 0.5000)  4 Au 3.27, 8 In 3.57
I (0.5000, 0.5000, 0.5000)  4 Au 3.27, 8 In 3.57



<ii>
A geometry-optimized In2Au2I structure, computed with PBE.

Lattice parameters (Å, degrees): 8.4491 8.4491 3.6021 90.00 90.00 90.00
Last column: nearest neighbours and their distance in Å.
Atoms (fractional coordinates):
In (0.1812, 0.3188, 0.0000)  6 Au 3.01-3.14, 2 I 3.10
In (0.3188, 0.8188, 0.0000)  6 Au 3.01-3.14, 2 I 3.10
In (0.6812, 0.1812, 0.0000)  6 Au 3.01-3.14, 2 I 3.10
In (0.8188, 0.6812, 0.0000)  6 Au 3.01-3.14, 2 I 3.10
Au (0.1171, 0.6171, 0.5000)  1 Au 2.80, 2 In 3.01
Au (0.3829, 0.1171, 0.5000)  1 Au 2.80, 2 In 3.01
Au (0.6171, 0.8829, 0.5000)  1 Au 2.80, 2 In 3.01
Au (0.8829, 0.3829, 0.5000)  1 Au 2.80, 2 In 3.01
I (0.0000, 0.0000, 0.0000)  4 In 3.10
I (0.5000, 0.5000, 0.0000)  4 In 3.10



Most stable structure: <i>



<i>
A geometry-optimized In2AuI structure, computed with PBE.

Lattice parameters (Å, degrees): 7.8479 7.8479 7.8479 90.00 90.00 90.00
Last column: nearest neighbours and their distance in Å.
Atoms (fractional coordinates):
In (0.2500, 0.2500, 0.2500)  4 I 3.40, 4 Au 3.40
In (0.2500, 0.2500, 0.7500)  4 I 3.40, 4 Au 3.40
In (0.2500, 0.7500, 0.2500)  4 I 3.40, 4 Au 3.40
In (0.2500, 0.7500, 0.7500)  4 I 3.40, 4 Au 3.40
In (0.7500, 0.2500, 0.2500)  4 I 3.40, 4 Au 3.40
In (0.7500, 0.2500, 0.7500)  4 I 3.40, 4 Au 3.40
In (0.7500, 0.7500, 0.2500)  4 I 3.40, 4 Au 3.40
In (0.7500, 0.7500, 0.7500)  4 I 3.40, 4 Au 3.40
Au (0.0000, 0.0000, 0.0000)  8 In 3.40
Au (0.0000, 0.5000, 0.5000)  8 In 3.40
Au (0.5000, 0.0000, 0.5000)  8 In 3.40
Au (0.5000, 0.5000, 0.0000)  8 In 3.40
I (0.0000, 0.0000, 0.5000)  8 In 3.40
I (0.0000, 0.5000, 0.0000)  8 In 3.40
I (0.5000, 0.0000, 0.0000)  8 In 3.40
I (0.5000, 0.5000, 0.5000)  8 In 3.40



<ii>
A geometry-optimized In2AuI structure, computed with PBE.

Lattice parameters (Å, degrees): 3.7769 3.7769 7.8480 90.00 90.00 90.00
Last column: nearest neighbours and their distance in Å.
Atoms (fractional coordinates):
In (0.0000, 0.0000, 0.2060)  4 Au 3.12, 1 In 3.23
In (0.0000, 0.0000, 0.7940)  4 Au 3.12, 1 In 3.23
Au (0.5000, 0.5000, 0.0000)  8 In 3.12
I (0.5000, 0.5000, 0.5000)  8 In 3.53, 4 I 3.78, 2 Au 3.92



<iii>
A geometry-optimized In2AuI structure, computed with PBE.

Lattice parameters (Å, degrees): 4.2243 4.2243 23.0975 90.00 90.00 120.00
Last column: nearest neighbours and their distance in Å.
Atoms (fractional coordinates):
In (0.0000, 0.0000, 0.2320)  3 Au 2.87
In (0.0000, 0.0000, 0.7680)  3 Au 2.87
In (0.3333, 0.6667, 0.4347)  3 Au 2.87
In (0.3333, 0.6667, 0.8987)  3 Au 2.87
In (0.6667, 0.3333, 0.1013)  3 Au 2.87
In (0.6667, 0.3333, 0.5653)  3 Au 2.87
Au (0.0000, 0.0000, 0.5000)  6 In 2.87
Au (0.3333, 0.6667, 0.1667)  6 In 2.87
Au (0.6667, 0.3333, 0.8333)  6 In 2.87
I (0.0000, 0.0000, 0.0000)  6 In 3.38
I (0.3333, 0.6667, 0.6667)  6 In 3.38
I (0.6667, 0.3333, 0.3333)  6 In 3.38



Most stable structure: <iii>



<i>
A geometry-optimized In2AuI structure, computed with PBE.

Lattice parameters (Å, degrees): 4.1945 4.1945 23.7631 90.00 90.00 120.00
Last column: nearest neighbours and their distance in Å.
Atoms (fractional coordinates):
In (0.0000, 0.0000, 0.0000)  3 Au 2.87
In (0.0000, 0.0000, 0.2035)  3 Au 2.88
In (0.3333, 0.6667, 0.6667)  3 Au 2.87
In (0.3333, 0.6667, 0.8701)  3 Au 2.88
In (0.6667, 0.3333, 0.3333)  3 Au 2.87
In (0.6667, 0.3333, 0.5368)  3 Au 2.88
Au (0.0000, 0.0000, 0.6021)  6 In 2.87-2.88
Au (0.3333, 0.6667, 0.2688)  6 In 2.87-2.88
Au (0.6667, 0.3333, 0.9355)  6 In 2.87-2.88
I (0.0000, 0.0000, 0.4300)  6 In 3.34-3.51
I (0.3333, 0.6667, 0.0967)  6 In 3.34-3.51
I (0.6667, 0.3333, 0.7634)  6 In 3.34-3.51



<ii>
A geometry-optimized In2AuI structure, computed with PBE.

Lattice parameters (Å, degrees): 6.7940 6.7940 14.3353 90.00 90.00 90.00
Last column: nearest neighbours and their distance in Å.
Atoms (fractional coordinates):
In (0.1735, 0.2500, 0.1250)  2 Au 2.74
In (0.2500, 0.6735, 0.3750)  2 Au 2.74
In (0.2500, 0.8265, 0.8750)  2 Au 2.74
In (0.3265, 0.2500, 0.6250)  2 Au 2.74
In (0.6735, 0.7500, 0.6250)  2 Au 2.74
In (0.7500, 0.1735, 0.8750)  2 Au 2.74
In (0.7500, 0.3265, 0.3750)  2 Au 2.74
In (0.8265, 0.7500, 0.1250)  2 Au 2.74
Au (0.0000, 0.0000, 0.0000)  4 In 2.74
Au (0.0000, 0.5000, 0.2500)  4 In 2.74
Au (0.5000, 0.0000, 0.7500)  4 In 2.74
Au (0.5000, 0.5000, 0.5000)  4 In 2.74
I (0.0000, 0.0000, 0.5000)  4 In 3.32
I (0.0000, 0.5000, 0.7500)  4 In 3.32
I (0.5000, 0.0000, 0.2500)  4 In 3.32
I (0.5000, 0.5000, 0.0000)  4 In 3.32



Most stable structure: <i>